VASP calculation (GGA-PBE) on a relaxed ZnTcBr4 crystal.

Calculated values
Density of states at the Fermi level, states/eV per cell: 4.75
Formation energy from raw total energies, meV per atom: 1096
Crystal system: cubic
Calculated volume, Å³ per cell: 175.4
Density, g cm⁻³: 4.57

Cell and atoms, written as POSCAR:
```
ZnTcBr4
1.0
0.0000 4.4429 4.4429
4.4429 0.0000 4.4429
4.4429 4.4429 0.0000
Zn Tc Br
1 1 4
direct
0.0000 0.0000 0.0000
0.2500 0.2500 0.2500
0.1253 0.6249 0.6249
0.6249 0.1253 0.6249
0.6249 0.6249 0.1253
0.6249 0.6249 0.6249
```